Below is a geometry-optimized La8Nd3Dy3 structure, with properties calculated at the PBE level.

Output
Energy of formation = 89 meV per atom
Total moment = 0.00 Bohr magnetons per cell

Lattice parameters (Å, degrees): 5.798 11.032 15.531 90.00 90.00 90.00
Space group Immm (No. 71)
Unique sites:
1 La 0.000 0.159 0.225 [8 per cell]
2 La 0.000 0.337 0.395 [8 per cell]
3 Nd 0.000 0.000 0.500 [2 per cell]
4 Nd 0.000 0.500 0.177 [4 per cell]
5 Dy 0.000 0.000 0.000 [2 per cell]
6 Dy 0.000 0.301 0.000 [4 per cell]